(1)
FeAsPb2: relaxed, GGA-PBE.

## Properties
Space-group type: R-3m (166)
Total energy: -4.5635 eV/atom

Cell and atoms, written as POSCAR:
```
FeAsPb2
1.0
-5.398 0.325 8.344
-3.049 -1.799 9.292
-2.518 1.456 9.508
Pb Fe As
2 1 1
direct
0.009 0.009 0.009
0.491 0.491 0.491
0.750 0.750 0.750
0.250 0.250 0.250
```

(2)
DyNi2: relaxed, GGA-PBE.

## Properties
Space-group type: I4/mmm (139)
Total energy: -5.5503 eV/atom

Cell and atoms, written as POSCAR:
```
DyNi2
1.0
3.310 0.000 0.000
0.000 3.310 0.000
-1.655 -1.655 4.427
Ni Dy
2 1
direct
0.688 0.688 0.376
0.312 0.312 0.624
0.000 0.000 0.000
```